No. 1
A geometry-optimized K2Ag2F7 structure, computed with PBE.

a = 6.478 Å, b = 12.928 Å, c = 4.695 Å
α = 90.00°, β = 93.87°, γ = 90.00°
Fractional positions:
K1 0.089 0.132 0.291
K2 0.089 0.368 0.791
K3 0.911 0.632 0.209
K4 0.911 0.868 0.709
Ag1 0.408 0.617 0.708
Ag2 0.408 0.883 0.208
Ag3 0.592 0.117 0.792
Ag4 0.592 0.383 0.292
F1 0.114 0.572 0.738
F2 0.114 0.928 0.238
F3 0.295 0.161 0.814
F4 0.295 0.339 0.314
F5 0.313 0.694 0.343
F6 0.313 0.806 0.843
F7 0.500 0.000 0.500
F8 0.500 0.500 0.000
F9 0.687 0.194 0.157
F10 0.687 0.306 0.657
F11 0.705 0.661 0.686
F12 0.705 0.839 0.186
F13 0.886 0.072 0.762
F14 0.886 0.428 0.262

As for the energy above the most stable polymorph in this dataset: 0.0068 eV/atom. As for the space group: No. 14.



No. 2
A geometry-optimized KAg2F structure, computed with PBE.

a = 3.792 Å, b = 3.792 Å, c = 29.188 Å
α = 90.00°, β = 90.00°, γ = 90.00°
Fractional positions:
K1 0.000 0.000 0.000
K2 0.000 0.500 0.250
K3 0.500 0.000 0.750
K4 0.500 0.500 0.500
Ag1 0.250 0.250 0.125
Ag2 0.250 0.250 0.625
Ag3 0.250 0.750 0.375
Ag4 0.250 0.750 0.875
Ag5 0.750 0.250 0.375
Ag6 0.750 0.250 0.875
Ag7 0.750 0.750 0.125
Ag8 0.750 0.750 0.625
F1 0.000 0.000 0.500
F2 0.000 0.500 0.750
F3 0.500 0.000 0.250
F4 0.500 0.500 0.000

As for the energy above the most stable polymorph in this dataset: 0.0000 eV/atom. As for the space group: No. 122.



No. 3
A geometry-optimized KAg3F8 structure, computed with PBE.

a = 5.771 Å, b = 5.771 Å, c = 7.139 Å
α = 90.00°, β = 90.00°, γ = 120.00°
Fractional positions:
K1 0.000 0.000 0.000
Ag1 0.000 0.000 0.500
Ag2 0.333 0.667 0.634
Ag3 0.667 0.333 0.366
F1 0.067 0.339 0.344
F2 0.272 0.933 0.344
F3 0.333 0.667 0.918
F4 0.339 0.272 0.656
F5 0.661 0.728 0.344
F6 0.667 0.333 0.082
F7 0.728 0.067 0.656
F8 0.933 0.661 0.656

As for the space group: No. 147.



No. 4
A geometry-optimized K2AgF6 structure, computed with PBE.

a = 6.295 Å, b = 6.711 Å, c = 9.728 Å
α = 90.00°, β = 122.61°, γ = 90.00°
Fractional positions:
K1 0.208 0.077 0.247
K2 0.208 0.423 0.747
K3 0.792 0.577 0.253
K4 0.792 0.923 0.753
Ag1 0.500 0.000 0.000
Ag2 0.500 0.500 0.500
F1 0.175 0.162 0.956
F2 0.175 0.338 0.456
F3 0.308 0.747 0.950
F4 0.308 0.753 0.450
F5 0.382 0.035 0.770
F6 0.382 0.465 0.270
F7 0.618 0.535 0.730
F8 0.618 0.965 0.230
F9 0.692 0.247 0.550
F10 0.692 0.253 0.050
F11 0.825 0.662 0.544
F12 0.825 0.838 0.044

As for the space group: No. 14.



No. 5
A geometry-optimized K3Ag2F9 structure, computed with PBE.

a = 6.027 Å, b = 6.027 Å, c = 7.626 Å
α = 90.00°, β = 90.00°, γ = 120.00°
Fractional positions:
K1 0.000 0.000 0.000
K2 0.333 0.667 0.378
K3 0.667 0.333 0.622
Ag1 0.333 0.667 0.841
Ag2 0.667 0.333 0.159
F1 0.000 0.500 0.000
F2 0.171 0.342 0.687
F3 0.171 0.829 0.687
F4 0.342 0.171 0.313
F5 0.500 0.000 0.000
F6 0.500 0.500 0.000
F7 0.658 0.829 0.687
F8 0.829 0.171 0.313
F9 0.829 0.658 0.313

As for the space group: No. 164.



No. 6
A geometry-optimized K5AgF8 structure, computed with PBE.

a = 6.956 Å, b = 6.956 Å, c = 6.956 Å
α = 111.73°, β = 111.73°, γ = 105.04°
Fractional positions:
K1 0.000 0.000 0.000
K2 0.253 0.665 0.145
K3 0.335 0.480 0.587
K4 0.520 0.107 0.855
K5 0.893 0.747 0.413
Ag1 0.750 0.250 0.500
F1 0.020 0.234 0.716
F2 0.180 0.760 0.788
F3 0.240 0.028 0.420
F4 0.518 0.304 0.284
F5 0.608 0.820 0.580
F6 0.696 0.980 0.214
F7 0.766 0.482 0.786
F8 0.972 0.392 0.212

As for the space group: No. 82.



No. 7
A geometry-optimized K6Ag3F14 structure, computed with PBE.

a = 9.225 Å, b = 9.225 Å, c = 6.214 Å
α = 90.00°, β = 90.00°, γ = 120.00°
Fractional positions:
K1 0.029 0.464 0.000
K2 0.274 0.212 0.469
K3 0.434 0.971 0.000
K4 0.536 0.566 0.000
K5 0.788 0.063 0.469
K6 0.937 0.726 0.469
Ag1 0.000 0.000 0.002
Ag2 0.333 0.667 0.540
Ag3 0.667 0.333 0.629
F1 0.000 0.000 0.663
F2 0.054 0.215 0.193
F3 0.160 0.946 0.193
F4 0.193 0.745 0.727
F5 0.255 0.448 0.727
F6 0.333 0.667 0.200
F7 0.457 0.255 0.827
F8 0.530 0.122 0.435
F9 0.552 0.807 0.727
F10 0.592 0.470 0.435
F11 0.745 0.203 0.827
F12 0.785 0.840 0.193
F13 0.797 0.543 0.827
F14 0.878 0.408 0.435

As for the space group: No. 143.



No. 8
A geometry-optimized K2AgF4 structure, computed with PBE.

a = 7.241 Å, b = 7.241 Å, c = 6.466 Å
α = 90.00°, β = 90.00°, γ = 130.29°
Fractional positions:
K1 0.143 0.857 0.976
K2 0.357 0.643 0.476
K3 0.643 0.357 0.524
K4 0.857 0.143 0.024
Ag1 0.000 0.000 0.500
Ag2 0.500 0.500 0.000
F1 0.165 0.835 0.564
F2 0.230 0.270 0.750
F3 0.270 0.230 0.250
F4 0.335 0.665 0.064
F5 0.665 0.335 0.936
F6 0.730 0.770 0.750
F7 0.770 0.730 0.250
F8 0.835 0.165 0.436

As for the energy above the most stable polymorph in this dataset: 0.0125 eV/atom. As for the space group: No. 64.



No. 9
A geometry-optimized K2AgF3 structure, computed with PBE.

a = 7.006 Å, b = 7.006 Å, c = 6.611 Å
α = 110.70°, β = 110.70°, γ = 56.05°
Fractional positions:
K1 0.014 0.299 0.174
K2 0.299 0.014 0.674
K3 0.701 0.986 0.326
K4 0.986 0.701 0.826
Ag1 0.457 0.543 0.250
Ag2 0.543 0.457 0.750
F1 0.084 0.916 0.250
F2 0.311 0.324 0.548
F3 0.324 0.311 0.048
F4 0.676 0.689 0.952
F5 0.689 0.676 0.452
F6 0.916 0.084 0.750

As for the energy above the most stable polymorph in this dataset: 0.0155 eV/atom. As for the space group: No. 15.



No. 10
A geometry-optimized KAg2F4 structure, computed with PBE.

a = 9.733 Å, b = 9.733 Å, c = 9.733 Å
α = 24.47°, β = 24.47°, γ = 24.47°
Fractional positions:
K1 0.000 0.000 0.000
Ag1 0.214 0.214 0.214
Ag2 0.786 0.786 0.786
F1 0.136 0.136 0.136
F2 0.288 0.288 0.288
F3 0.712 0.712 0.712
F4 0.864 0.864 0.864

As for the energy above the most stable polymorph in this dataset: 0.0290 eV/atom. As for the space group: No. 166.



No. 11
A geometry-optimized KAg2F8 structure, computed with PBE.

a = 4.826 Å, b = 6.556 Å, c = 6.596 Å
α = 75.25°, β = 84.14°, γ = 84.41°
Fractional positions:
K1 0.000 0.000 0.000
Ag1 0.280 0.374 0.375
Ag2 0.720 0.626 0.625
F1 0.233 0.570 0.569
F2 0.273 0.133 0.617
F3 0.275 0.617 0.135
F4 0.325 0.186 0.188
F5 0.675 0.814 0.812
F6 0.725 0.383 0.865
F7 0.727 0.867 0.383
F8 0.767 0.430 0.431

As for the energy above the most stable polymorph in this dataset: 0.0000 eV/atom. As for the space group: No. 2.



No. 12
A geometry-optimized K3AgF structure, computed with PBE.

a = 5.438 Å, b = 5.438 Å, c = 5.438 Å
α = 90.00°, β = 90.00°, γ = 90.00°
Fractional positions:
K1 0.000 0.000 0.500
K2 0.000 0.500 0.000
K3 0.500 0.000 0.000
Ag1 0.500 0.500 0.500
F1 0.000 0.000 0.000

As for the energy above the most stable polymorph in this dataset: 0.0000 eV/atom. As for the space group: No. 221.



| no. | formation energy without anion corrections (meV per atom) | total magnetic moment (μB/cell) |
| --- | --- | --- |
| 1 | -1747 | 1.9 |
| 2 | -930 | 0.0 |
| 3 | -1236 | 4.0 |
| 4 | -1818 | 2.1 |
| 5 | -1821 | 0.0 |
| 6 | -2249 | 0.3 |
| 7 | -1916 | 4.1 |
| 8 | -2100 | 1.2 |
| 9 | -2118 | 0.0 |
| 10 | -1568 | 1.1 |
| 11 | -1275 | 1.1 |
| 12 | -1027 | 0.0 |